The following is a DFT calculation (PBE) of an optimized crystal structure of NiHgBr3.

As for the density: 4.91 Mg/m³. The density of states at the Fermi level is 57.903 states/eV/cell. As for the total energy: -8.55 eV/f.u.

It has space group Pm-3m (No. 221), with a = 5.5259 Å, b = 5.5259 Å, c = 5.5259 Å, α = 90.00°, β = 90.00° and γ = 90.00°. The asymmetric unit holds Ni at (0.0000, 0.0000, 0.0000), Hg at (0.5000, 0.5000, 0.5000) and Br at (0.0000, 0.5000, 0.5000).

The following is a DFT calculation (PBE) of an optimized crystal structure of Ni2HgBr.

As for the density: 8.81 Mg/m³. The density of states at the Fermi level is 4.873 states/eV/cell. As for the total energy: -11.41 eV/f.u.

It has space group Pmmm (No. 47), with a = 3.1975 Å, b = 4.0251 Å, c = 5.8271 Å, α = 90.00°, β = 90.00° and γ = 90.00°. The asymmetric unit holds Ni at (0.0000, 0.0000, 0.0000), Ni at (0.5000, 0.0000, 0.5000), Hg at (0.0000, 0.5000, 0.5000) and Br at (0.5000, 0.5000, 0.0000).

The following is a DFT calculation (PBE) of an optimized crystal structure of Ni2HgBr.

As for the density: 9.18 Mg/m³. The density of states at the Fermi level is 9.403 states/eV/cell. As for the total energy: -11.36 eV/f.u.

It has space group I-4m2 (No. 119), with a = 3.6356 Å, b = 3.6356 Å, c = 10.8866 Å, α = 90.00°, β = 90.00° and γ = 90.00°. The asymmetric unit holds Ni at (0.0000, 0.0000, 0.0000), Ni at (0.0000, 0.5000, 0.2500), Hg at (0.0000, 0.0000, 0.5000) and Br at (0.0000, 0.5000, 0.7500).

The following is a DFT calculation (PBE) of an optimized crystal structure of Ni2HgBr.

As for the density: 9.65 Mg/m³. The density of states at the Fermi level is 12.785 states/eV/cell. As for the total energy: -12.04 eV/f.u.

It has space group R-3m (No. 166, hexagonal axes), with a = 3.3159 Å, b = 3.3159 Å, c = 21.5689 Å, α = 90.00°, β = 90.00° and γ = 120.00°. The asymmetric unit holds Ni at (0.0000, 0.0000, 0.2471), Hg at (0.0000, 0.0000, 0.0000) and Br at (0.0000, 0.0000, 0.5000).

The following is a DFT calculation (PBE) of an optimized crystal structure of NiHgBr4.

As for the density: 5.44 Mg/m³. The density of states at the Fermi level is 53.086 states/eV/cell. As for the total energy: -7.52 eV/f.u.

It has space group F-43m (No. 216), with a = 8.9071 Å, b = 8.9071 Å, c = 8.9071 Å, α = 90.00°, β = 90.00° and γ = 90.00°. The asymmetric unit holds Ni at (0.0000, 0.0000, 0.0000), Hg at (0.2500, 0.2500, 0.2500) and Br at (0.1252, 0.1252, 0.6252).

The following is a DFT calculation (PBE) of an optimized crystal structure of Ni2HgBr2.

As for the density: 5.89 Mg/m³. The density of states at the Fermi level is 13.007 states/eV/cell. As for the total energy: -15.05 eV/f.u.

It has space group I4/mmm (No. 139), with a = 3.7183 Å, b = 3.7183 Å, c = 19.4999 Å, α = 90.00°, β = 90.00° and γ = 90.00°. The asymmetric unit holds Ni at (0.0000, 0.5000, 0.2500), Hg at (0.0000, 0.0000, 0.0000) and Br at (0.0000, 0.0000, 0.3328).

The following is a DFT calculation (PBE) of an optimized crystal structure of Ni2HgBr.

As for the density: 9.87 Mg/m³. The density of states at the Fermi level is 5.949 states/eV/cell. As for the total energy: -11.75 eV/f.u.

It has space group P4/mmm (No. 123), with a = 3.2563 Å, b = 3.2563 Å, c = 6.3105 Å, α = 90.00°, β = 90.00° and γ = 90.00°. The asymmetric unit holds Ni at (0.0000, 0.0000, 0.2284), Hg at (0.5000, 0.5000, 0.0000) and Br at (0.5000, 0.5000, 0.5000).

The following is a DFT calculation (PBE) of an optimized crystal structure of NiHg3Br.

As for the density: 9.21 Mg/m³. The density of states at the Fermi level is 2.025 states/eV/cell. As for the total energy: -8.15 eV/f.u.

It has space group Pm-3m (No. 221), with a = 5.1108 Å, b = 5.1108 Å, c = 5.1108 Å, α = 90.00°, β = 90.00° and γ = 90.00°. The asymmetric unit holds Ni at (0.0000, 0.0000, 0.0000), Hg at (0.0000, 0.0000, 0.5000) and Br at (0.5000, 0.5000, 0.5000).

The following is a DFT calculation (PBE) of an optimized crystal structure of NiHgBr4.

As for the density: 5.22 Mg/m³. As for the total energy: -14.85 eV/f.u.

It has space group P2/m (No. 10), with a = 6.8673 Å, b = 3.8660 Å, c = 6.9398 Å, α = 90.00°, β = 92.05° and γ = 90.00°. The asymmetric unit holds Ni at (0.0000, 0.0000, 0.0000), Hg at (0.0000, 0.5000, 0.5000), Br at (0.2075, 0.5000, 0.8647) and Br at (0.2225, 0.0000, 0.3036).

The following is a DFT calculation (PBE) of an optimized crystal structure of NiHg4Br.

As for the density: 10.02 Mg/m³. The density of states at the Fermi level is 43.442 states/eV/cell. As for the total energy: -5.62 eV/f.u.

It has space group F-43m (No. 216), with a = 8.5447 Å, b = 8.5447 Å, c = 8.5447 Å, α = 90.00°, β = 90.00° and γ = 90.00°. The asymmetric unit holds Ni at (0.0000, 0.0000, 0.0000), Hg at (0.1254, 0.1254, 0.3746) and Br at (0.2500, 0.2500, 0.7500).

The following is a DFT calculation (PBE) of an optimized crystal structure of Ni2HgBr6.

As for the density: 5.02 Mg/m³. As for the total energy: -24.99 eV/f.u.

It has space group P-31m (No. 162), with a = 6.6530 Å, b = 6.6530 Å, c = 6.8791 Å, α = 90.00°, β = 90.00° and γ = 120.00°. The asymmetric unit holds Ni at (0.3333, 0.6667, 0.0000), Hg at (0.0000, 0.0000, 0.0000) and Br at (0.0000, 0.3658, 0.2115).

The following is a DFT calculation (PBE) of an optimized crystal structure of NiHg2Br6.

As for the density: 5.21 Mg/m³. As for the total energy: -19.52 eV/f.u.

It has space group C2/m (No. 12), with a = 13.0835 Å, b = 4.0502 Å, c = 11.4012 Å, α = 90.00°, β = 97.64° and γ = 90.00°. The asymmetric unit holds Ni at (0.0000, 0.0000, 0.0000), Hg at (0.2135, 0.5000, 0.7505), Br at (0.0835, 0.0000, 0.2087), Br at (0.1202, 0.5000, 0.9549) and Br at (0.1403, 0.0000, 0.6094).